(1)
{
  "formula": "Nd2Zn4Pt3Au",
  "functional": "GGA-PBE",
  "state": "optimized geometry",
  "cell": [[4.099, 0.000, 0.000], [0.000, 4.099, 0.000], [0.000, 0.000, 11.563]],
  "species": ["Nd", "Nd", "Zn", "Zn", "Zn", "Zn", "Pt", "Pt", "Pt", "Au"],
  "frac_coords": [[0.000, 0.500, 0.241], [0.500, 0.000, 0.759], [0.000, 0.000, 0.000], [0.000, 0.500, 0.638], [0.500, 0.000, 0.362], [0.500, 0.500, 0.000], [0.000, 0.500, 0.858], [0.500, 0.000, 0.142], [0.500, 0.500, 0.500], [0.000, 0.000, 0.500]],
  "magmom_total_mub_per_atom": 0.000,
  "energy_ev_per_atom": -4.305,
  "crystal_system": "tetragonal"
}


(2)
{
  "formula": "CaEr2MoN4",
  "functional": "GGA-PBE",
  "state": "optimized geometry",
  "cell": [[1.664, -5.979, 0.000], [1.664, 5.979, 0.000], [0.000, 0.000, 12.069]],
  "species": ["Ca", "Ca", "Er", "Er", "Er", "Er", "Mo", "Mo", "N", "N", "N", "N", "N", "N", "N", "N"],
  "frac_coords": [[0.071, 0.929, 0.750], [0.929, 0.071, 0.250], [0.373, 0.627, 0.539], [0.373, 0.627, 0.961], [0.627, 0.373, 0.039], [0.627, 0.373, 0.461], [0.185, 0.815, 0.250], [0.815, 0.185, 0.750], [0.000, 0.000, 0.000], [0.000, 0.000, 0.500], [0.262, 0.738, 0.115], [0.262, 0.738, 0.385], [0.427, 0.573, 0.750], [0.573, 0.427, 0.250], [0.738, 0.262, 0.615], [0.738, 0.262, 0.885]],
  "raw_formation_energy_kj_per_mol_atoms": -106.8,
  "magmom_total_mub_per_atom": 0.000,
  "energy_ev_per_atom": -8.014,
  "crystal_system": "orthorhombic"
}


(3)
{
  "formula": "AsOs2S",
  "functional": "GGA-PBE",
  "state": "optimized geometry",
  "cell": [[0.000, 3.053, 3.053], [3.053, 0.000, 3.053], [3.053, 3.053, 0.000]],
  "species": ["As", "Os", "Os", "S"],
  "frac_coords": [[0.000, 0.000, 0.000], [0.250, 0.250, 0.250], [0.750, 0.750, 0.750], [0.500, 0.500, 0.500]],
  "raw_formation_energy_kj_per_mol_atoms": 59.1,
  "magmom_total_mub_per_atom": 0.000,
  "energy_ev_per_atom": -7.197,
  "crystal_system": "cubic"
}


(4)
{
  "formula": "In2SbIr",
  "functional": "GGA-PBE",
  "state": "optimized geometry",
  "cell": [[5.123, 0.000, 0.000], [0.000, 3.361, 0.000], [-1.629, 0.000, 4.966]],
  "species": ["In", "In", "Sb", "Ir"],
  "frac_coords": [[0.000, 0.000, 0.000], [0.000, 0.500, 0.500], [0.500, 0.000, 0.500], [0.500, 0.500, 0.000]],
  "raw_formation_energy_kj_per_mol_atoms": 30.3,
  "magmom_total_mub_per_atom": 0.000,
  "energy_ev_per_atom": -4.301,
  "crystal_system": "monoclinic"
}


Copy entry 4 word for word.
{
  "formula": "In2SbIr",
  "functional": "GGA-PBE",
  "state": "optimized geometry",
  "cell": [[5.123, 0.000, 0.000], [0.000, 3.361, 0.000], [-1.629, 0.000, 4.966]],
  "species": ["In", "In", "Sb", "Ir"],
  "frac_coords": [[0.000, 0.000, 0.000], [0.000, 0.500, 0.500], [0.500, 0.000, 0.500], [0.500, 0.500, 0.000]],
  "raw_formation_energy_kj_per_mol_atoms": 30.3,
  "magmom_total_mub_per_atom": 0.000,
  "energy_ev_per_atom": -4.301,
  "crystal_system": "monoclinic"
}